[1]
This record from Alexandria via LeMat-Bulk describes Al3C2 after structural relaxation. The functional is PBE-GGA.

extended XYZ file:
```
5
Lattice="1.5671 0.9048 6.7612 -1.5671 0.9048 6.7612 0.0000 -1.8096 6.7612" Properties=species:S:1:pos:R:3 pbc="T T T"
Al 0.0000 0.0000 0.0000
Al 0.0000 0.0000 4.6351
Al 0.0000 0.0000 15.6484
C 0.0000 0.0000 8.0150
C 0.0000 0.0000 12.2685
```

The total magnetization is 0.0 Bohr magnetons per cell. The space group is R-3m. The energy above the most stable polymorph in this dataset is 0 meV/atom. Its volume is 57.52 Å³/cell.

---

[2]
This record from Alexandria via LeMat-Bulk describes AlC after structural relaxation. The functional is PBE-GGA.

extended XYZ file:
```
6
Lattice="5.4802 0.0000 0.0000 -2.7401 4.7460 0.0000 0.0000 0.0000 2.5426" Properties=species:S:1:pos:R:3 pbc="T T T"
Al 0.0000 0.0000 0.0000
Al 0.0000 3.1640 1.2713
Al 2.7401 1.5820 1.2713
C -0.9910 1.7165 0.0000
C 1.9820 0.0000 0.0000
C 1.7491 3.0295 0.0000
```

The total magnetization is 0.0 Bohr magnetons per cell. The space group is P-62m. The energy above the most stable polymorph in this dataset is 550 meV/atom. Its volume is 66.13 Å³/cell.

---

no.,energy of formation from the pure elements (eV per atom)
1,0.154
2,0.775